Entry 1:
Below is a relaxed Pm6PrSm12 crystal, with properties calculated at the PBE level.

Calculated values
energy above the lowest structure with this stoichiometry = 228.7 kJ/mol of formula units
M_tot = 0.0 Bohr magnetons per cell
E_form = 3.171 kcal/mol of atoms

CIF file:
```
data_Pm6PrSm12
_cell_length_a 12.2128
_cell_length_b 12.2128
_cell_length_c 15.2966
_cell_angle_alpha 90.00
_cell_angle_beta 90.00
_cell_angle_gamma 120.00
_symmetry_space_group_name_H-M 'R -3'
_symmetry_Int_Tables_number 148
_symmetry_space_group_name_Hall '-R 3'
loop_
_atom_site_label
_atom_site_fract_x
_atom_site_fract_y
_atom_site_fract_z
Pm1 0.0110 0.5888 0.1832
Pr1 0.0000 0.0000 0.5000
Sm1 0.0075 0.1752 0.6912
Sm2 0.0461 0.1939 0.9166
```

---

Entry 2:
Below is a relaxed Tb12Pr2Tm crystal, with properties calculated at the PBE level.

Calculated values
M_tot = 0.0 Bohr magnetons per cell
E_form = 2.609 kcal/mol of atoms

CIF file:
```
data_Tb12Pr2Tm
_cell_length_a 7.1238
_cell_length_b 11.2816
_cell_length_c 24.5659
_cell_angle_alpha 90.00
_cell_angle_beta 94.19
_cell_angle_gamma 90.00
_symmetry_space_group_name_H-M 'C 1 2/m 1'
_symmetry_Int_Tables_number 12
_symmetry_space_group_name_Hall '-C 2y'
loop_
_atom_site_label
_atom_site_fract_x
_atom_site_fract_y
_atom_site_fract_z
Tb1 0.0178 0.2500 0.0724
Tb2 0.1122 0.2484 0.4449
Tb3 0.1408 0.5000 0.5730
Tb4 0.1436 0.0000 0.5712
Tb5 0.1673 0.2493 0.6699
Tb6 0.2000 0.2502 0.8008
Tb7 0.2158 0.0000 0.8654
Tb8 0.2161 0.5000 0.8659
Pr1 0.0674 0.5000 0.2717
Pr2 0.0693 0.0000 0.2722
Tm1 0.2500 0.0000 0.9998
```

---

Entry 3:
Below is a relaxed Mn2Co2Tc crystal, with properties calculated at the PBE level.

Calculated values
energy above the lowest structure with this stoichiometry = 131.3 kJ/mol of formula units
M_tot = 0.0 Bohr magnetons per cell
E_form = 9.750 kcal/mol of atoms

CIF file:
```
data_Mn2Co2Tc
_cell_length_a 3.4548
_cell_length_b 3.4548
_cell_length_c 10.1120
_cell_angle_alpha 90.00
_cell_angle_beta 90.00
_cell_angle_gamma 90.00
_symmetry_space_group_name_H-M 'I 4/m m m'
_symmetry_Int_Tables_number 139
_symmetry_space_group_name_Hall '-I 4 2'
loop_
_atom_site_label
_atom_site_fract_x
_atom_site_fract_y
_atom_site_fract_z
Mn1 0.0000 0.0000 0.0999
Co1 0.0000 0.5000 0.2500
Tc1 0.0000 0.0000 0.5000
```